Record 1
Mn2NiS2: relaxed, GGA-PBE.

VASP energy: -66.37 eV/cell

a b c (Å): 6.4011 6.4011 3.2945
angles (deg): 90.00 90.00 90.00
Fractional positions:
Mn  0.1461  0.3539  0.0000
Mn  0.3539  0.8539  0.0000
Mn  0.6461  0.1461  0.0000
Mn  0.8539  0.6461  0.0000
Ni  0.0000  0.0000  0.5000
Ni  0.5000  0.5000  0.5000
S  0.1667  0.6667  0.5000
S  0.3333  0.1667  0.5000
S  0.6667  0.8333  0.5000
S  0.8333  0.3333  0.5000

---

Record 2
Pm2AgAs: relaxed, GGA-PBE.

VASP energy: -60.35 eV/cell

a b c (Å): 4.1519 4.1519 22.5397
angles (deg): 90.00 90.00 120.00
Fractional positions:
Pm  0.0000  0.0000  0.0000
Pm  0.0000  0.0000  0.1834
Pm  0.3333  0.6667  0.6667
Pm  0.3333  0.6667  0.8501
Pm  0.6667  0.3333  0.3333
Pm  0.6667  0.3333  0.5167
Ag  0.0000  0.0000  0.4249
Ag  0.3333  0.6667  0.0916
Ag  0.6667  0.3333  0.7582
As  0.0000  0.0000  0.5911
As  0.3333  0.6667  0.2578
As  0.6667  0.3333  0.9245

---

Listing density of states at the Fermi level for the structures above in their given order: 3.82 1.92 states/eV/f.u..
Listing spin magnetization for the structures above in their given order: 1.3845 0.0000 μB/atom.
Listing excess energy over the best structure of this formula in the dataset for the structures above in their given order: 0 0 meV per atom.